(1)
Compound: NdZnPdPb
Source: the Alexandria database
Functional: GGA-PBE
Structure: optimized geometry

Properties
Spin magnetization   0.0 μB/f.u.
DFT formation energy   -1.93 eV per formula unit

extended XYZ file:
```
4
Lattice="5.005 0.000 0.000 2.502 4.334 0.000 2.502 1.445 4.086" Properties=species:S:1:pos:R:3 pbc="T T T"
Nd 7.507 4.334 3.065
Zn 0.000 0.000 0.000
Pd 5.005 2.889 2.043
Pb 2.502 1.445 1.022
```

(2)
Compound: Rb2ZrBr6O
Source: the Alexandria database
Functional: GGA-PBE
Structure: optimized geometry

Properties
Spin magnetization   0.0 μB/f.u.
DFT total energy   -0.1358 hartree per atom

extended XYZ file:
```
10
Lattice="8.460 0.000 0.000 0.000 8.460 0.000 4.230 4.230 4.708" Properties=species:S:1:pos:R:3 pbc="T T T"
Zr 0.000 0.000 0.000
O 4.230 4.230 0.000
Br 1.885 1.885 0.000
Br 8.460 8.460 2.639
Br 6.575 1.885 0.000
Rb 8.460 4.230 2.354
Br 6.575 6.575 0.000
Br 1.885 6.575 0.000
Br 4.230 4.230 2.069
Rb 4.230 8.460 2.354
```

(3)
Compound: KIrCl6
Source: the Alexandria database
Functional: GGA-PBE
Structure: optimized geometry

Properties
Spin magnetization   2.1 μB/f.u.
Energy relative to the lowest polymorph listed for this composition   0.0196 eV/atom

extended XYZ file:
```
8
Lattice="6.681 0.014 -0.007 3.338 5.821 -0.002 3.316 1.929 6.117" Properties=species:S:1:pos:R:3 pbc="T T T"
K 6.667 3.882 3.054
Ir 0.000 0.000 0.000
Cl 11.491 7.287 4.783
Cl 2.835 3.992 1.332
Cl 7.981 6.394 4.780
Cl 5.354 1.370 1.327
Cl 10.500 3.773 4.775
Cl 1.844 0.478 1.324
```

(4)
Compound: CoSi2Ag
Source: the Alexandria database
Functional: GGA-PBE
Structure: optimized geometry

Properties
Spin magnetization   0.0 μB/f.u.
Energy relative to the lowest polymorph listed for this composition   0.2656 eV/atom

extended XYZ file:
```
8
Lattice="3.996 0.000 0.000 0.000 3.996 0.000 1.998 1.998 7.795" Properties=species:S:1:pos:R:3 pbc="T T T"
Si 2.997 3.252 5.846
Co 1.998 3.996 3.898
Ag 3.996 1.998 3.898
Co 1.998 1.998 0.000
Ag 0.000 0.000 0.000
Si 1.254 2.997 1.949
Si 4.995 4.740 5.846
Si 2.742 0.999 1.949
```

(5)
Compound: Ba2CaLu
Source: the Alexandria database
Functional: GGA-PBE
Structure: optimized geometry

Properties
Spin magnetization   0.0 μB/f.u.
DFT formation energy   0.78 eV per formula unit
Energy relative to the lowest polymorph listed for this composition   0.0000 eV/atom

extended XYZ file:
```
4
Lattice="-2.667 3.295 1.145 -3.249 -2.871 0.696 2.817 -0.940 9.267" Properties=species:S:1:pos:R:3 pbc="T T T"
Ba 0.638 -0.213 2.099
Lu -2.958 0.212 0.921
Ba 2.179 -0.727 7.168
Ca -1.550 -0.258 5.554
```

(6)
Compound: Pm12Mg3As5
Source: the Alexandria database
Functional: GGA-PBE
Structure: optimized geometry

Properties
Spin magnetization   0.0 μB/f.u.
DFT formation energy   -7.06 eV per formula unit

extended XYZ file:
```
80
Lattice="15.412 0.000 0.000 -5.137 14.531 0.000 -5.137 -7.265 12.584" Properties=species:S:1:pos:R:3 pbc="T T T"
Mg 1.284 -0.908 4.719
Pm 10.913 7.175 2.186
Mg -3.853 -2.724 11.011
Pm -2.010 -0.814 5.783
Pm 7.804 3.925 4.767
Pm 3.127 1.782 4.106
Pm 6.607 11.102 3.596
Pm -1.931 -0.090 10.398
Pm 0.098 4.807 5.277
As -2.569 -3.633 6.292
Pm 6.236 -1.196 7.463
Pm -2.666 3.341 7.816
Pm -5.235 10.606 4.767
Pm 1.931 -1.938 11.569
Mg 6.422 0.908 4.719
Mg -3.853 2.724 11.011
As 8.990 -0.908 7.865
Pm 2.666 -2.458 7.307
Pm 2.010 5.483 8.478
Pm -2.666 -5.799 12.075
Pm 9.176 -5.033 11.059
Pm 7.804 13.064 0.509
As -5.137 3.633 6.292
Pm -5.040 5.799 12.075
As 6.422 6.357 4.719
As -1.284 11.806 1.573
Pm 10.372 -3.341 7.816
As -1.284 3.633 3.146
Pm 5.696 6.297 9.888
Mg 8.990 4.541 1.573
Pm 1.470 1.196 7.463
As 1.284 4.541 11.011
Pm 7.068 7.355 2.186
As 5.137 -3.633 6.292
Pm -0.638 9.114 1.171
Pm 1.931 1.848 11.413
As 5.137 7.265 0.000
Pm 4.579 -1.782 4.106
Pm -1.470 5.033 11.059
Mg -6.422 7.265 9.438
Pm -1.099 8.461 5.121
Pm 5.775 -1.848 11.413
As 3.853 2.724 1.573
Pm -0.559 0.968 2.695
As 7.706 0.000 0.000
As -1.284 0.908 7.865
As 6.422 3.633 9.438
As -3.853 8.173 4.719
As 2.569 3.633 6.292
Pm -0.638 5.327 1.015
As -2.569 7.265 0.000
Mg 1.284 7.265 3.146
Pm -3.127 8.233 9.888
Pm 9.716 0.814 5.783
Pm -4.579 6.451 6.801
As 3.853 10.898 3.146
Pm 7.147 8.079 6.801
Pm 11.374 3.429 3.596
Mg 3.853 8.173 7.865
Pm 3.668 6.069 5.121
Pm -6.236 3.837 8.987
Pm 6.607 2.232 1.524
Mg 11.559 0.000 3.146
Pm -4.038 12.298 1.524
As 0.000 0.000 0.000
Pm 2.471 9.724 5.277
Pm 5.040 2.458 7.307
Pm 5.775 1.938 11.569
Pm 10.177 1.466 0.509
As 1.284 -3.633 9.438
Mg -1.284 6.357 7.865
Pm 0.559 9.048 8.478
Pm -5.775 0.090 10.398
As 6.422 -4.541 11.011
Pm 3.207 5.417 1.171
Pm -1.470 -3.837 8.987
Mg 3.853 0.000 9.438
Pm 8.265 -0.968 2.695
Mg 8.990 9.990 1.573
Pm 3.207 9.204 1.015
```

(7)
Compound: HfCo3
Source: the Alexandria database
Functional: GGA-PBE
Structure: optimized geometry

Properties
Spin magnetization   3.1 μB/f.u.
DFT formation energy   -0.59 eV per formula unit

extended XYZ file:
```
4
Lattice="3.714 0.000 0.000 0.000 3.714 0.000 -1.857 -1.857 3.788" Properties=species:S:1:pos:R:3 pbc="T T T"
Co 1.857 1.857 0.000
Co 0.000 1.857 1.894
Co 1.857 0.000 1.894
Hf 0.000 0.000 0.000
```

(8)
Compound: BaZrNi2
Source: the Alexandria database
Functional: GGA-PBE
Structure: optimized geometry

Properties
Spin magnetization   0.0 μB/f.u.
DFT formation energy   0.12 eV per formula unit
Energy relative to the lowest polymorph listed for this composition   0.1185 eV/atom

extended XYZ file:
```
4
Lattice="3.919 0.000 0.000 0.000 3.728 0.022 0.000 1.832 6.516" Properties=species:S:1:pos:R:3 pbc="T T T"
Zr 0.000 2.552 2.218
Ni 0.000 0.697 0.455
Ba 1.959 4.399 5.280
Ni 1.959 0.692 1.854
```